1.
ScCuRe3 | PBE | relaxed

Lattice parameters (Å, degrees): 4.498 4.498 4.498 90.00 90.00 90.00
Space group Pm-3m (No. 221)
Inequivalent atoms, fractional coordinates:
Sc1 0.000 0.000 0.000 [1 per cell]
Cu1 0.500 0.500 0.500 [1 per cell]
Re1 0.000 0.500 0.500 [3 per cell]

Results
Crystal system ... cubic
Total moment ... 0.0 Bohr magnetons per cell
Offset from the most stable computed form ... 0 meV per atom
Energy relative to the elements ... 1.5253 eV/atom


2.
BeIn2AgSn | PBE | relaxed

Lattice parameters (Å, degrees): 4.938 4.938 4.757 90.00 90.00 90.00
Space group P4/mmm (No. 123)
Inequivalent atoms, fractional coordinates:
Be1 0.000 0.000 0.000 [1 per cell]
In1 0.000 0.500 0.000 [2 per cell]
Ag1 0.000 0.000 0.500 [1 per cell]
Sn1 0.500 0.500 0.500 [1 per cell]

Results
Crystal system ... tetragonal
Total moment ... 0.0 Bohr magnetons per cell
Offset from the most stable computed form ... 0 meV per atom
Energy relative to the elements ... 0.3278 eV/atom


3.
Fe2Co5Pt4 | PBE | relaxed

Lattice parameters (Å, degrees): 8.096 2.651 8.103 90.00 119.28 90.00
Space group P2/m (No. 10)
Inequivalent atoms, fractional coordinates:
Fe1 0.064 0.000 0.183 [2 per cell]
Co1 0.000 0.000 0.500 [1 per cell]
Co2 0.395 0.000 0.829 [2 per cell]
Co3 0.413 0.000 0.327 [2 per cell]
Pt1 0.255 0.500 0.012 [2 per cell]
Pt2 0.269 0.500 0.505 [2 per cell]

Results
Crystal system ... monoclinic
Total moment ... 16.6 Bohr magnetons per cell
Energy relative to the elements ... 0.0420 eV/atom


4.
NdDy2Ag | PBE | relaxed

Lattice parameters (Å, degrees): 4.815 4.815 4.868 90.00 90.00 90.00
Space group P4/mmm (No. 123)
Inequivalent atoms, fractional coordinates:
Nd1 0.000 0.000 0.000 [1 per cell]
Dy1 0.000 0.500 0.500 [2 per cell]
Ag1 0.500 0.500 0.000 [1 per cell]

Results
Crystal system ... tetragonal
Total moment ... 0.0 Bohr magnetons per cell
Offset from the most stable computed form ... 151 meV per atom
Energy relative to the elements ... 0.0193 eV/atom


5.
Ho6Er3Tl | PBE | relaxed

Lattice parameters (Å, degrees): 12.618 3.474 14.115 90.00 100.41 90.00
Space group P2_1/m (No. 11)
Inequivalent atoms, fractional coordinates:
Ho1 0.011 0.250 0.309 [2 per cell]
Ho2 0.158 0.250 0.882 [2 per cell]
Ho3 0.252 0.750 0.307 [2 per cell]
Ho4 0.273 0.750 0.714 [2 per cell]
Ho5 0.307 0.750 0.074 [2 per cell]
Ho6 0.384 0.250 0.532 [2 per cell]
Er1 0.078 0.250 0.096 [2 per cell]
Er2 0.129 0.750 0.502 [2 per cell]
Er3 0.426 0.250 0.898 [2 per cell]
Tl1 0.468 0.250 0.277 [2 per cell]

Results
Crystal system ... monoclinic
Total moment ... 0.0 Bohr magnetons per cell
Offset from the most stable computed form ... 0 meV per atom
Energy relative to the elements ... 0.0160 eV/atom


6.
Tb2SmEr9 | PBE | relaxed

Lattice parameters (Å, degrees): 4.984 4.984 14.950 90.00 90.00 90.00
Space group P4/mmm (No. 123)
Inequivalent atoms, fractional coordinates:
Tb1 0.000 0.000 0.166 [2 per cell]
Sm1 0.000 0.000 0.500 [1 per cell]
Er1 0.000 0.500 0.000 [2 per cell]
Er2 0.000 0.500 0.332 [4 per cell]
Er3 0.500 0.500 0.166 [2 per cell]
Er4 0.500 0.500 0.500 [1 per cell]

Results
Crystal system ... tetragonal
Total moment ... 0.0 Bohr magnetons per cell
Offset from the most stable computed form ... 0 meV per atom
Energy relative to the elements ... 0.0228 eV/atom


7.
Ce12GaTc6 | PBE | relaxed

Lattice parameters (Å, degrees): 13.0958 13.0958 8.8578 90.00 90.00 120.00
Space group R-3 (No. 148, hexagonal axes)
Inequivalent atoms, fractional coordinates:
Ce1 0.0502 0.7815 0.4429 [18 per cell]
Ce2 0.0591 0.8729 0.7854 [18 per cell]
Ga1 0.0000 0.0000 0.5000 [3 per cell]
Tc1 0.0296 0.8043 0.0889 [18 per cell]

Results
Crystal system ... trigonal
Total moment ... 0.0 Bohr magnetons per cell
Energy relative to the elements ... -0.0211 eV/atom


8.
Zr2NiMo | PBE | relaxed

Lattice parameters (Å, degrees): 3.2502 3.2502 24.2903 90.00 90.00 120.00
Space group R-3m (No. 166, hexagonal axes)
Inequivalent atoms, fractional coordinates:
Zr1 0.0000 0.0000 0.2474 [6 per cell]
Ni1 0.0000 0.0000 0.5000 [3 per cell]
Mo1 0.0000 0.0000 0.0000 [3 per cell]

Results
Crystal system ... trigonal
Total moment ... 0.0 Bohr magnetons per cell
Energy relative to the elements ... 0.1049 eV/atom


9.
Y3Ge | PBE | relaxed

Lattice parameters (Å, degrees): 3.895 5.070 11.151 90.00 90.00 90.00
Space group Immm (No. 71)
Inequivalent atoms, fractional coordinates:
Y1 0.000 0.000 0.000 [2 per cell]
Y2 0.000 0.500 0.206 [4 per cell]
Ge1 0.000 0.000 0.500 [2 per cell]

Results
Crystal system ... orthorhombic
Total moment ... 0.0 Bohr magnetons per cell
Offset from the most stable computed form ... 0 meV per atom
Energy relative to the elements ... -0.3901 eV/atom


10.
GeIr | PBE | relaxed

Lattice parameters (Å, degrees): 6.937 6.937 3.725 90.00 90.00 90.00
Space group P4_2/mnm (No. 136)
Inequivalent atoms, fractional coordinates:
Ge1 0.202 0.202 0.000 [4 per cell]
Ir1 0.146 0.854 0.000 [4 per cell]

Results
Crystal system ... tetragonal
Total moment ... 0.0 Bohr magnetons per cell
Energy relative to the elements ... 0.2195 eV/atom


11.
CuPb2Au | PBE | relaxed

Lattice parameters (Å, degrees): 4.1270 4.1270 20.8449 90.00 90.00 120.00
Space group R3m (No. 160, hexagonal axes)
Inequivalent atoms, fractional coordinates:
Cu1 0.0000 0.0000 0.0000 [3 per cell]
Pb1 0.0000 0.0000 0.5373 [3 per cell]
Pb2 0.0000 0.0000 0.7354 [3 per cell]
Au1 0.0000 0.0000 0.2858 [3 per cell]

Results
Crystal system ... trigonal
Total moment ... 0.0 Bohr magnetons per cell
Offset from the most stable computed form ... 28 meV per atom
Energy relative to the elements ... 0.0651 eV/atom


12.
Sm6Hg5Sb | PBE | relaxed

Lattice parameters (Å, degrees): 9.252 16.242 5.389 90.00 125.56 90.00
Space group C2/m (No. 12)
Inequivalent atoms, fractional coordinates:
Sm1 0.247 0.000 0.247 [4 per cell]
Sm2 0.247 0.165 0.747 [8 per cell]
Hg1 0.000 0.178 0.000 [4 per cell]
Hg2 0.000 0.334 0.500 [4 per cell]
Hg3 0.000 0.500 0.000 [2 per cell]
Sb1 0.000 0.000 0.500 [2 per cell]

Results
Crystal system ... monoclinic
Total moment ... 2.0 Bohr magnetons per cell
Formation energy from raw total energies ... -0.56 eV/atom


13.
Th2AlTc3 | PBE | relaxed

Lattice parameters (Å, degrees): 5.5143 5.5143 8.9720 90.00 90.00 120.00
Space group P6_3/mmc (No. 194)
Inequivalent atoms, fractional coordinates:
Th1 0.3333 0.6667 0.0717 [4 per cell]
Al1 0.0000 0.0000 0.0000 [2 per cell]
Tc1 0.1701 0.3401 0.7500 [6 per cell]

Results
Crystal system ... hexagonal
Total moment ... 0.0 Bohr magnetons per cell
Energy relative to the elements ... -0.2676 eV/atom


14.
InCoI2 | PBE | relaxed

Lattice parameters (Å, degrees): 8.138 8.138 7.778 90.00 90.00 90.00
Space group I-42d (No. 122)
Inequivalent atoms, fractional coordinates:
In1 0.000 0.000 0.000 [4 per cell]
Co1 0.000 0.000 0.500 [4 per cell]
I1 0.155 0.250 0.625 [8 per cell]

Results
Crystal system ... tetragonal
Total moment ... 8.0 Bohr magnetons per cell
Offset from the most stable computed form ... 0 meV per atom
Formation energy from raw total energies ... 0.04 eV/atom


15.
Sr8Cd2Ga | PBE | relaxed

Lattice parameters (Å, degrees): 9.806 15.583 6.984 90.00 113.92 90.00
Space group Cm (No. 8)
Inequivalent atoms, fractional coordinates:
Sr1 0.000 0.000 0.000 [2 per cell]
Sr2 0.062 0.373 0.825 [4 per cell]
Sr3 0.127 0.125 0.589 [4 per cell]
Sr4 0.192 0.500 0.383 [2 per cell]
Sr5 0.353 0.196 0.196 [4 per cell]
Cd1 0.333 0.307 0.677 [4 per cell]
Ga1 0.348 0.000 0.988 [2 per cell]

Results
Crystal system ... monoclinic
Total moment ... 0.0 Bohr magnetons per cell
Offset from the most stable computed form ... 41 meV per atom
Energy relative to the elements ... -0.1330 eV/atom


16.
Sm3Sn3Pt | PBE | relaxed

Lattice parameters (Å, degrees): 11.353 4.582 15.201 90.00 109.74 90.00
Space group C2/m (No. 12)
Inequivalent atoms, fractional coordinates:
Sm1 0.023 0.000 0.379 [4 per cell]
Sm2 0.098 0.000 0.923 [4 per cell]
Sm3 0.240 0.000 0.236 [4 per cell]
Sn1 0.024 0.500 0.233 [4 per cell]
Sn2 0.127 0.500 0.076 [4 per cell]
Sn3 0.146 0.500 0.534 [4 per cell]
Pt1 0.245 0.500 0.383 [4 per cell]

Results
Crystal system ... monoclinic
Total moment ... 0.0 Bohr magnetons per cell
Energy relative to the elements ... -0.8806 eV/atom


17.
ZnIn2Cu | PBE | relaxed

Lattice parameters (Å, degrees): 3.223 4.005 6.041 90.00 90.00 90.00
Space group Pmmm (No. 47)
Inequivalent atoms, fractional coordinates:
Zn1 0.000 0.000 0.000 [1 per cell]
In1 0.500 0.500 0.257 [2 per cell]
Cu1 0.000 0.000 0.500 [1 per cell]

Results
Crystal system ... orthorhombic
Total moment ... 0.0 Bohr magnetons per cell
Energy relative to the elements ... 0.1506 eV/atom


18.
Rb3H2F4 | PBE | relaxed

Lattice parameters (Å, degrees): 11.796 11.677 6.700 90.00 93.79 90.00
Space group C2/c (No. 15)
Inequivalent atoms, fractional coordinates:
Rb1 0.000 0.212 0.250 [4 per cell]
Rb2 0.141 0.413 0.877 [8 per cell]
H1 0.079 0.093 0.840 [8 per cell]
F1 0.074 0.379 0.494 [8 per cell]
F2 0.140 0.144 0.904 [8 per cell]

Results
Crystal system ... monoclinic
Total moment ... 0.8 Bohr magnetons per cell
Total energy ... -3.748 eV/atom


19.
Rb2Tb2NpTe6 | PBE | relaxed

Lattice parameters (Å, degrees): 7.718 13.360 9.169 90.00 106.56 90.00
Space group C2/m (No. 12)
Inequivalent atoms, fractional coordinates:
Rb1 0.000 0.168 0.000 [4 per cell]
Tb1 0.000 0.333 0.500 [4 per cell]
Np1 0.000 0.000 0.500 [2 per cell]
Te1 0.233 0.164 0.698 [8 per cell]
Te2 0.236 0.500 0.697 [4 per cell]

Results
Crystal system ... monoclinic
Total moment ... 6.0 Bohr magnetons per cell
Formation energy from raw total energies ... -1.17 eV/atom


20.
Cd2PtF | PBE | relaxed

Lattice parameters (Å, degrees): 6.779 6.779 6.379 90.00 90.00 90.00
Space group I-42d (No. 122)
Inequivalent atoms, fractional coordinates:
Cd1 0.208 0.250 0.125 [8 per cell]
Pt1 0.000 0.000 0.500 [4 per cell]
F1 0.000 0.000 0.000 [4 per cell]

Results
Crystal system ... tetragonal
Total moment ... 0.0 Bohr magnetons per cell
Offset from the most stable computed form ... 0 meV per atom
Formation energy from raw total energies ... -0.69 eV/atom


21.
HfSb2PbBr | PBE | relaxed

Lattice parameters (Å, degrees): 5.397 5.397 5.465 90.00 90.00 90.00
Space group P4/mmm (No. 123)
Inequivalent atoms, fractional coordinates:
Hf1 0.000 0.000 0.000 [1 per cell]
Sb1 0.000 0.500 0.500 [2 per cell]
Pb1 0.500 0.500 0.000 [1 per cell]
Br1 0.500 0.500 0.500 [1 per cell]

Results
Crystal system ... tetragonal
Total moment ... 0.0 Bohr magnetons per cell
Formation energy from raw total energies ... 1.00 eV/atom


22.
CaAsP2S | PBE | relaxed

Lattice parameters (Å, degrees): 5.256 5.256 4.998 90.00 90.00 90.00
Space group P4/mmm (No. 123)
Inequivalent atoms, fractional coordinates:
Ca1 0.000 0.000 0.000 [1 per cell]
As1 0.500 0.500 0.500 [1 per cell]
P1 0.000 0.500 0.000 [2 per cell]
S1 0.000 0.000 0.500 [1 per cell]

Results
Crystal system ... tetragonal
Total moment ... 0.2 Bohr magnetons per cell
Offset from the most stable computed form ... 1051 meV per atom
Formation energy from raw total energies ... 1.09 eV/atom


23.
KLi2Si | PBE | relaxed

Lattice parameters (Å, degrees): 7.319 7.319 7.319 90.00 90.00 90.00
Space group F-43m (No. 216)
Inequivalent atoms, fractional coordinates:
K1 0.000 0.000 0.000 [4 per cell]
Li1 0.000 0.000 0.500 [4 per cell]
Li2 0.250 0.250 0.750 [4 per cell]
Si1 0.250 0.250 0.250 [4 per cell]

Results
Crystal system ... cubic
Total moment ... 2.9 Bohr magnetons per cell
Formation energy from raw total energies ... 0.30 eV/atom